## NaRuPb2Cl (PBE)

Data for an optimized crystal structure of NaRuPb2Cl.

Unit cell a=5.1948 b=5.1948 c=5.5547 alpha=90.00 beta=90.00 gamma=90.00
Space group P4/mmm (No. 123)
Symmetry-distinct sites (fractional):
Na (0.0000, 0.0000, 0.0000) [1 per cell]
Ru (0.0000, 0.0000, 0.5000) [1 per cell]
Pb (0.0000, 0.5000, 0.5000) [2 per cell]
Cl (0.5000, 0.5000, 0.0000) [1 per cell]

E_form (uncorrected), meV/atom: -42
Mass density, g cm⁻³: 6.358